# Na2MgGeBi

A relaxed Na2MgGeBi crystal (PBE, Alexandria via LeMat-Bulk).

Values from the calculation:
- V (A^3/atom) = 33.8
- Fermi-level density of states (states/eV per cell) = 3.53
- final energy (eV per cell) = -10.21

Unit cell a=5.572 b=5.572 c=5.449 alpha=90.00 beta=90.00 gamma=90.00
Fractional coordinates of all 5 atoms:
Na 0.000 0.500 0.000
Na 0.500 0.000 0.000
Mg 0.000 0.000 0.000
Ge 0.500 0.500 0.500
Bi 0.000 0.000 0.500

# Na4SrTl12

A relaxed Na4SrTl12 crystal (PBE, Alexandria via LeMat-Bulk).

Values from the calculation:
- V (A^3/atom) = 34.0
- Fermi-level density of states (states/eV per cell) = 9.74
- final energy (eV per cell) = -33.39

Unit cell a=9.087 b=9.087 c=9.087 alpha=109.47 beta=109.47 gamma=109.47
Fractional coordinates of all 17 atoms:
Na 0.000 0.000 0.500
Na 0.000 0.500 0.000
Na 0.500 0.000 0.000
Na 0.500 0.500 0.500
Sr 0.000 0.000 0.000
Tl 0.150 0.352 0.502
Tl 0.150 0.648 0.797
Tl 0.203 0.850 0.352
Tl 0.352 0.203 0.850
Tl 0.352 0.502 0.150
Tl 0.498 0.850 0.648
Tl 0.502 0.150 0.352
Tl 0.648 0.498 0.850
Tl 0.648 0.797 0.150
Tl 0.797 0.150 0.648
Tl 0.850 0.352 0.203
Tl 0.850 0.648 0.498

# SmDy2HoEr2

A relaxed SmDy2HoEr2 crystal (PBE, Alexandria via LeMat-Bulk).

Values from the calculation:
- V (A^3/atom) = 32.4
- Fermi-level density of states (states/eV per cell) = 18.30
- final energy (eV per cell) = -51.87

Unit cell a=6.549 b=17.619 c=3.371 alpha=90.00 beta=90.00 gamma=90.00
Fractional coordinates of all 12 atoms:
Sm 0.000 0.000 0.000
Sm 0.500 0.500 0.500
Dy 0.233 0.317 0.000
Dy 0.267 0.817 0.500
Dy 0.733 0.183 0.500
Dy 0.767 0.683 0.000
Ho 0.000 0.500 0.000
Ho 0.500 0.000 0.500
Er 0.232 0.149 0.500
Er 0.268 0.649 0.000
Er 0.732 0.351 0.000
Er 0.768 0.851 0.500

# Sc2CoPbC

A relaxed Sc2CoPbC crystal (PBE, Alexandria via LeMat-Bulk).

Values from the calculation:
- V (A^3/atom) = 16.7
- Fermi-level density of states (states/eV per cell) = 4.12
- final energy (eV per cell) = -34.40

Unit cell a=4.640 b=4.640 c=3.871 alpha=90.00 beta=90.00 gamma=90.00
Fractional coordinates of all 5 atoms:
Sc 0.000 0.500 0.000
Sc 0.500 0.000 0.000
Co 0.000 0.000 0.500
Pb 0.500 0.500 0.500
C 0.000 0.000 0.000

# BaZr2PaS8

A relaxed BaZr2PaS8 crystal (PBE, Alexandria via LeMat-Bulk).

Values from the calculation:
- V (A^3/atom) = 26.4
- Fermi-level density of states (states/eV per cell) = 1.72
- ΔE_f (raw) (meV/atom) = -1359

Unit cell a=5.806 b=6.535 c=8.349 alpha=89.95 beta=89.92 gamma=88.52
Fractional coordinates of all 12 atoms:
Ba 0.000 0.000 0.000
Zr 0.500 0.500 0.269
Zr 0.500 0.500 0.731
Pa 0.000 0.000 0.500
S 0.255 0.459 0.000
S 0.258 0.352 0.500
S 0.274 0.839 0.711
S 0.275 0.840 0.289
S 0.725 0.160 0.711
S 0.726 0.161 0.289
S 0.742 0.648 0.500
S 0.745 0.541 0.000

# ZnCu2NiPt5

A relaxed ZnCu2NiPt5 crystal (PBE, Alexandria via LeMat-Bulk).

Values from the calculation:
- V (A^3/atom) = 15.2
- Fermi-level density of states (states/eV per cell) = 21.14
- final energy (eV per cell) = -88.70

Unit cell a=7.389 b=7.389 c=7.389 alpha=122.61 beta=122.61 gamma=85.54
Fractional coordinates of all 18 atoms:
Zn 0.250 0.250 0.000
Zn 0.750 0.750 0.000
Cu 0.109 0.609 0.718
Cu 0.391 0.109 0.500
Cu 0.609 0.891 0.500
Cu 0.891 0.391 0.282
Ni 0.250 0.750 0.500
Ni 0.750 0.250 0.500
Pt 0.000 0.000 0.000
Pt 0.066 0.167 0.500
Pt 0.167 0.667 0.101
Pt 0.333 0.434 0.500
Pt 0.434 0.934 0.101
Pt 0.500 0.500 0.000
Pt 0.566 0.066 0.899
Pt 0.667 0.566 0.500
Pt 0.833 0.333 0.899
Pt 0.934 0.833 0.500

# ScIrRu2

A relaxed ScIrRu2 crystal (PBE, Alexandria via LeMat-Bulk).

Values from the calculation:
- V (A^3/atom) = 15.1
- Fermi-level density of states (states/eV per cell) = 9.08
- final energy (eV per cell) = -69.24

Unit cell a=5.567 b=7.750 c=2.807 alpha=90.00 beta=90.00 gamma=90.00
Fractional coordinates of all 8 atoms:
Sc 0.000 0.000 0.000
Sc 0.500 0.500 0.000
Ir 0.000 0.500 0.000
Ir 0.500 0.000 0.000
Ru 0.250 0.250 0.500
Ru 0.250 0.750 0.500
Ru 0.750 0.250 0.500
Ru 0.750 0.750 0.500

# K2CdI5

A relaxed K2CdI5 crystal (PBE, Alexandria via LeMat-Bulk).

Values from the calculation:
- V (A^3/atom) = 49.1
- ΔE_f (raw) (meV/atom) = -847

Unit cell a=9.300 b=9.300 c=13.476 alpha=90.00 beta=90.00 gamma=137.63
Fractional coordinates of all 16 atoms:
K 0.168 0.832 0.589
K 0.168 0.832 0.911
K 0.832 0.168 0.089
K 0.832 0.168 0.411
Cd 0.181 0.819 0.250
Cd 0.819 0.181 0.750
I 0.030 0.970 0.122
I 0.030 0.970 0.378
I 0.298 0.702 0.099
I 0.298 0.702 0.401
I 0.325 0.675 0.750
I 0.675 0.325 0.250
I 0.702 0.298 0.599
I 0.702 0.298 0.901
I 0.970 0.030 0.622
I 0.970 0.030 0.878